(1)
# TlH6I3

A relaxed TlH6I3 crystal (PBE-GGA, the Alexandria database).

Cell and atoms, written as POSCAR:
```
TlH6I3
1.0
-8.236 -1.383 1.380
1.953 -0.252 8.232
-0.893 8.417 -0.061
Tl H I
2 12 6
direct
0.000 0.000 0.000
0.500 0.500 0.500
0.919 0.144 0.167
0.856 0.833 0.081
0.644 0.419 0.667
0.833 0.081 0.856
0.667 0.644 0.419
0.581 0.333 0.356
0.419 0.667 0.644
0.333 0.356 0.581
0.167 0.919 0.144
0.356 0.581 0.333
0.144 0.167 0.919
0.081 0.856 0.833
0.750 0.225 0.275
0.225 0.275 0.750
0.725 0.250 0.775
0.275 0.750 0.225
0.775 0.725 0.250
0.250 0.775 0.725
```

DOS at the Fermi energy = 4.99 states/eV per cell
symmetry = R-3c (167)
final energy = -22.93 eV per formula unit


(2)
# ErSc2N

A relaxed ErSc2N crystal (PBE-GGA, the Alexandria database).

Cell and atoms, written as POSCAR:
```
ErSc2N
1.0
3.267 0.000 0.000
1.634 2.830 0.000
1.634 0.943 8.426
Sc N Er
2 1 1
direct
0.285 0.285 0.145
0.715 0.715 0.855
0.000 0.000 0.000
0.500 0.500 0.500
```

DOS at the Fermi energy = 4.36 states/eV per cell
symmetry = R-3m (166)
uncorrected formation energy = -85 kJ/mol of atoms


(3)
# La2YErSe6

A relaxed La2YErSe6 crystal (PBE-GGA, the Alexandria database).

Cell and atoms, written as POSCAR:
```
La2YErSe6
1.0
-0.393 -6.715 3.148
5.779 -4.646 -0.430
4.169 -1.344 6.412
La Y Er Se
2 1 1 6
direct
0.522 0.523 0.432
0.023 0.023 0.932
0.318 0.318 0.047
0.818 0.818 0.545
0.603 0.195 0.261
0.195 0.942 0.261
0.942 0.603 0.261
0.445 0.697 0.759
0.697 0.100 0.759
0.100 0.445 0.759
```

DOS at the Fermi energy = 0.00 states/eV per cell
symmetry = R3 (146)
uncorrected formation energy = -185 kJ/mol of atoms


(4)
# La3Ag2Ru

A relaxed La3Ag2Ru crystal (PBE-GGA, the Alexandria database).

Cell and atoms, written as POSCAR:
```
La3Ag2Ru
1.0
5.285 -0.030 0.021
2.598 7.689 0.010
-0.031 0.000 7.678
La Ag Ru
6 4 2
direct
0.823 0.354 0.774
0.500 0.000 0.230
0.177 0.646 0.226
0.823 0.354 0.226
0.177 0.646 0.774
0.500 0.000 0.770
0.000 0.000 0.000
0.000 0.000 0.500
0.338 0.324 0.500
0.662 0.676 0.500
0.367 0.316 0.000
0.633 0.684 0.000
```

DOS at the Fermi energy = 9.96 states/eV per cell
symmetry = P2/m (10)
calculated formation energy = -1.5 eV per formula unit
E above lowest polymorph = 0.0 meV/atom


(5)
# LiScPPd

A relaxed LiScPPd crystal (PBE-GGA, the Alexandria database).

Cell and atoms, written as POSCAR:
```
LiScPPd
1.0
4.457 0.000 0.000
2.229 3.860 0.000
2.229 1.287 3.640
Sc P Pd Li
1 1 1 1
direct
0.250 0.250 0.250
0.500 0.500 0.500
0.000 0.000 0.000
0.750 0.750 0.750
```

DOS at the Fermi energy = 1.58 states/eV per cell
symmetry = F-43m (216)
calculated formation energy = -3.2 eV per formula unit


(6)
# Ti3MoAu

A relaxed Ti3MoAu crystal (PBE-GGA, the Alexandria database).

Cell and atoms, written as POSCAR:
```
Ti3MoAu
1.0
0.754 7.323 4.074
-1.631 -8.251 0.227
4.346 -0.839 0.705
Ti Mo Au
6 2 2
direct
0.947 0.053 0.655
0.749 0.251 0.655
0.448 0.552 0.155
0.552 0.448 0.655
0.053 0.947 0.155
0.251 0.749 0.155
0.652 0.348 0.155
0.348 0.652 0.655
0.149 0.851 0.655
0.851 0.149 0.155
```

DOS at the Fermi energy = 6.87 states/eV per cell
symmetry = Cmcm (63)
calculated formation energy = -1.2 eV per formula unit
E above lowest polymorph = 0.0 meV/atom


(7)
# Y2Cd2BRh4

A relaxed Y2Cd2BRh4 crystal (PBE-GGA, the Alexandria database).

Cell and atoms, written as POSCAR:
```
Y2Cd2BRh4
1.0
-3.228 -4.991 1.155
0.655 1.837 -5.732
6.001 -0.109 0.801
Y Cd B Rh
2 2 1 4
direct
0.000 0.706 0.706
0.000 0.294 0.294
0.500 0.750 0.250
0.500 0.250 0.750
0.000 0.000 0.000
0.000 0.762 0.238
0.524 0.762 0.762
0.000 0.238 0.762
0.476 0.238 0.238
```

DOS at the Fermi energy = 4.70 states/eV per cell
symmetry = I4/mmm (139)
calculated formation energy = -4.1 eV per formula unit


(8)
# SrInAg

A relaxed SrInAg crystal (PBE-GGA, the Alexandria database).

Cell and atoms, written as POSCAR:
```
SrInAg
1.0
-2.740 -2.979 3.108
-3.538 -3.130 -1.930
0.767 -5.045 0.030
Ag In Sr
1 1 1
direct
0.750 0.750 0.750
0.000 0.000 0.000
0.500 0.500 0.500
```

DOS at the Fermi energy = 2.21 states/eV per cell
symmetry = F-43m (216)
calculated formation energy = -0.6 eV per formula unit


(9)
# Ho4AgIr3

A relaxed Ho4AgIr3 crystal (PBE-GGA, the Alexandria database).

Cell and atoms, written as POSCAR:
```
Ho4AgIr3
1.0
4.681 0.000 1.382
2.137 4.165 1.382
0.043 0.026 8.475
Ir Ho Ag
3 4 1
direct
0.251 0.251 0.246
0.749 0.749 0.754
0.500 0.500 0.500
0.872 0.872 0.383
0.379 0.379 0.864
0.128 0.128 0.617
0.621 0.621 0.136
0.000 0.000 0.000
```

DOS at the Fermi energy = 4.34 states/eV per cell
symmetry = R-3m (166)
calculated formation energy = -6.1 eV per formula unit


(10)
# TlPb2S2

A relaxed TlPb2S2 crystal (PBE-GGA, the Alexandria database).

Cell and atoms, written as POSCAR:
```
TlPb2S2
1.0
-5.187 -6.134 -1.846
6.201 -5.404 0.536
-0.761 -0.497 3.790
Pb Tl S
4 2 4
direct
0.155 0.655 0.500
0.655 0.845 0.500
0.845 0.345 0.500
0.345 0.155 0.500
0.000 0.000 0.000
0.500 0.500 0.000
0.349 0.849 0.000
0.849 0.651 0.000
0.651 0.151 0.000
0.151 0.349 0.000
```

DOS at the Fermi energy = 2.86 states/eV per cell
symmetry = P4/mbm (127)
uncorrected formation energy = -26 kJ/mol of atoms
E above lowest polymorph = 0.0 meV/atom


(11)
# MnBe4B2

A relaxed MnBe4B2 crystal (PBE-GGA, the Alexandria database).

Cell and atoms, written as POSCAR:
```
MnBe4B2
1.0
-0.503 1.903 -2.344
-1.628 -2.133 -1.382
-4.571 1.023 3.807
Be B Mn
4 2 1
direct
0.170 0.500 0.341
0.325 0.000 0.650
0.830 0.500 0.659
0.675 0.000 0.350
0.430 0.500 0.859
0.570 0.500 0.141
0.000 0.000 0.000
```

DOS at the Fermi energy = 2.02 states/eV per cell
symmetry = Cmmm (65)
calculated formation energy = -0.5 eV per formula unit


(12)
# Tm4CdIn2Ag

A relaxed Tm4CdIn2Ag crystal (PBE-GGA, the Alexandria database).

Cell and atoms, written as POSCAR:
```
Tm4CdIn2Ag
1.0
5.205 0.000 0.000
2.602 4.508 0.000
2.602 1.503 8.511
Tm Cd In Ag
4 1 2 1
direct
0.377 0.377 0.868
0.873 0.873 0.381
0.127 0.127 0.619
0.623 0.623 0.132
0.000 0.000 0.000
0.749 0.749 0.753
0.251 0.251 0.247
0.500 0.500 0.500
```

DOS at the Fermi energy = 6.00 states/eV per cell
symmetry = R-3m (166)
calculated formation energy = -3.1 eV per formula unit